Density functional theory data (PBE with a Hubbard U) for FeAs2Pb4Cl4O8 after structural relaxation.

Magnetization (μB/cell): 1.946
Theoretical density (kg/m³): 5795
Total DFT energy (no corrections) (eV for the cell shown): -96.8

a b c (Å): 5.6438 6.7580 10.1276
angles (deg): 101.70 97.98 92.06
Atoms (fractional coordinates):
Pb  0.2631  0.2082  0.4579
Pb  0.7369  0.7918  0.5421
Pb  0.3481  0.0926  0.8356
O  0.0169  0.0963  0.6574
Fe  0.0000  0.5000  0.0000
O  0.5531  0.1390  0.6488
Cl  0.8098  0.7768  0.8759
O  0.2514  0.6905  0.1070
O  0.9831  0.9037  0.3426
As  0.1634  0.7083  0.2751
Cl  0.7340  0.3437  0.4000
O  0.4469  0.8610  0.3512
As  0.8366  0.2917  0.7249
O  0.8555  0.5842  0.1522
Pb  0.6519  0.9074  0.1644
Cl  0.2660  0.6563  0.6000
O  0.7486  0.3095  0.8930
Cl  0.1902  0.2232  0.1241
O  0.1445  0.4158  0.8478